1.
Entry from Alexandria: a relaxed Pr3Sm2Ho4 crystal (PBE).

Output
The mass density is 7.69 g cm⁻³. As for the total energy: -4.580 eV/atom. As for the energy above the lowest structure with this stoichiometry: 4 meV/atom.

Unit cell a=16.476 b=11.825 c=6.184 alpha=90.00 beta=97.46 gamma=90.00
Space group C2/c (No. 15)
Asymmetric unit:
Pr 0.000 0.132 0.250 [4 per cell]
Pr 0.163 0.358 0.089 [8 per cell]
Sm 0.111 0.127 0.790 [8 per cell]
Ho 0.058 0.383 0.539 [8 per cell]
Ho 0.229 0.117 0.364 [8 per cell]

=====

2.
Entry from Alexandria: a relaxed Pu4Ni2H crystal (PBE).

Output
The mass density is 12.93 g cm⁻³. As for the total energy: -10.287 eV/atom.

Unit cell a=4.400 b=4.400 c=14.516 alpha=90.00 beta=90.00 gamma=90.00
Space group I4/mmm (No. 139)
Asymmetric unit:
Pu 0.000 0.000 0.187 [4 per cell]
Pu 0.000 0.500 0.000 [4 per cell]
Ni 0.000 0.000 0.370 [4 per cell]
H 0.000 0.000 0.000 [2 per cell]

=====

3.
Entry from Alexandria: a relaxed AgSeO3 crystal (PBE).

Output
The uncorrected formation energy comes out at 361 kJ/mol of formula units. The mass density is 6.09 g cm⁻³. As for the total energy: -3.494 eV/atom.

Unit cell a=4.000 b=4.000 c=4.000 alpha=90.00 beta=90.00 gamma=90.00
Space group Pm-3m (No. 221)
Asymmetric unit:
Ag 0.000 0.000 0.000 [1 per cell]
Se 0.500 0.500 0.500 [1 per cell]
O 0.000 0.000 0.500 [3 per cell]

=====

4.
Entry from Alexandria: a relaxed Rb3HoBr6 crystal (PBE).

Output
The uncorrected formation energy comes out at -1774 kJ/mol of formula units. The mass density is 3.36 g cm⁻³. As for the total energy: -3.590 eV/atom.

Unit cell a=13.8237 b=13.8237 c=16.1487 alpha=90.00 beta=90.00 gamma=120.00
Space group R-3 (No. 148, hexagonal axes)
Asymmetric unit:
Rb 0.0471 0.2730 0.1995 [18 per cell]
Ho 0.0000 0.0000 0.0000 [3 per cell]
Ho 0.0000 0.0000 0.5000 [3 per cell]
Br 0.0237 0.1792 0.4024 [18 per cell]
Br 0.0303 0.1790 0.8997 [18 per cell]

=====

5.
Entry from Alexandria: a relaxed MgPaGa2 crystal (PBE).

Output
The mass density is 7.81 g cm⁻³. As for the total energy: -4.461 eV/atom.

Unit cell a=6.709 b=8.258 c=3.029 alpha=90.00 beta=90.00 gamma=90.00
Space group Cmmm (No. 65)
Asymmetric unit:
Mg 0.000 0.000 0.000 [2 per cell]
Pa 0.000 0.500 0.000 [2 per cell]
Ga 0.250 0.250 0.500 [4 per cell]

=====

What did the fifth record say?
Entry from Alexandria: a relaxed MgPaGa2 crystal (PBE).

Output
The mass density is 7.81 g cm⁻³. As for the total energy: -4.461 eV/atom.

Unit cell a=6.709 b=8.258 c=3.029 alpha=90.00 beta=90.00 gamma=90.00
Space group Cmmm (No. 65)
Asymmetric unit:
Mg 0.000 0.000 0.000 [2 per cell]
Pa 0.000 0.500 0.000 [2 per cell]
Ga 0.250 0.250 0.500 [4 per cell]

=====

Among the records above, which one has the lowest mass density?
Rb3HoBr6

=====

Please write out number 3 again, unchanged.
Entry from Alexandria: a relaxed AgSeO3 crystal (PBE).

Output
The uncorrected formation energy comes out at 361 kJ/mol of formula units. The mass density is 6.09 g cm⁻³. As for the total energy: -3.494 eV/atom.

Unit cell a=4.000 b=4.000 c=4.000 alpha=90.00 beta=90.00 gamma=90.00
Space group Pm-3m (No. 221)
Asymmetric unit:
Ag 0.000 0.000 0.000 [1 per cell]
Se 0.500 0.500 0.500 [1 per cell]
O 0.000 0.000 0.500 [3 per cell]